Record 1
Nd2Sb4Au | GGA-PBE | optimized geometry

a = 4.473 Å, b = 4.473 Å, c = 9.847 Å
α = 90.00°, β = 90.00°, γ = 90.00°
Space group P-4m2 (No. 115)
Unique sites:
Nd: 0.000 0.500 0.243 x2
Sb: 0.000 0.000 0.500 x1
Sb: 0.000 0.500 0.840 x2
Sb: 0.500 0.500 0.500 x1
Au: 0.500 0.500 0.000 x1

For the total moment, the calculation gives 0.0 Bohr magnetons per cell. The total energy is -4.94 eV/atom.

***

Record 2
DyHgBi | GGA-PBE | optimized geometry

a = 7.320 Å, b = 7.320 Å, c = 7.320 Å
α = 90.00°, β = 90.00°, γ = 90.00°
Space group F-43m (No. 216)
Unique sites:
Dy: 0.000 0.000 0.000 x4
Hg: 0.250 0.250 0.250 x4
Bi: 0.250 0.250 0.750 x4

For the total moment, the calculation gives 0.0 Bohr magnetons per cell. For the energy above the most stable polymorph in this dataset, the calculation gives 0 meV per atom. The total energy is -3.40 eV/atom.

***

Record 3
YFeOsPb | GGA-PBE | optimized geometry

a = 6.735 Å, b = 6.735 Å, c = 6.735 Å
α = 90.00°, β = 90.00°, γ = 90.00°
Space group F-43m (No. 216)
Unique sites:
Y: 0.000 0.000 0.000 x4
Fe: 0.000 0.000 0.500 x4
Os: 0.250 0.250 0.750 x4
Pb: 0.250 0.250 0.250 x4

For the total moment, the calculation gives 16.3 Bohr magnetons per cell. For the energy above the most stable polymorph in this dataset, the calculation gives 111 meV per atom. The total energy is -6.95 eV/atom.

***

Record 4
TmMo | GGA-PBE | optimized geometry

a = 6.396 Å, b = 6.396 Å, c = 6.396 Å
α = 90.00°, β = 90.00°, γ = 90.00°
Space group F-43m (No. 216)
Unique sites:
Tm: 0.000 0.000 0.000 x4
Mo: 0.250 0.250 0.250 x4

For the total moment, the calculation gives 12.1 Bohr magnetons per cell. The formation energy comes out at 2.4199 eV/atom. For the energy above the most stable polymorph in this dataset, the calculation gives 1857 meV per atom. The total energy is -5.24 eV/atom.

***

Which value of total moment does entry 1 give? 0.0 Bohr magnetons per cell